Record 1
VASP calculation (PBE-GGA) on a geometry-optimized Cs2Cd3In6 structure. Values from VASP.

Computed properties:
Total energy, eV/atom: -1.950
Volume, Å³/cell: 365.2
Magnetic moment, μB/f.u.: 0.000

Structure (Quantum ESPRESSO input):
```
&SYSTEM
  ibrav = 0, nat = 11, ntyp = 3
/
ATOMIC_SPECIES
In 114.82 In.upf
Cd 112.41 Cd.upf
Cs 132.91 Cs.upf
CELL_PARAMETERS angstrom
-1.1937 2.9208 3.6862
-7.3424 -5.4158 1.9137
8.2319 -1.7150 4.0247
ATOMIC_POSITIONS angstrom
In -5.9580 -4.3947 1.5528
In -2.7492 -0.1272 2.4041
Cd -5.2055 -1.9390 3.0442
Cs 3.0405 -2.9486 3.3210
In 0.1677 -1.3445 1.1196
Cd 4.5701 0.3839 4.3693
Cs -2.1510 -4.1822 2.6173
Cd -0.2656 -1.1946 4.0541
In 1.8162 0.9577 3.0229
In 0.0319 -3.5801 6.0406
In 6.6798 -1.3917 3.2658
```

=====

Record 2
VASP calculation (PBE-GGA) on a geometry-optimized TcIr3 structure. Values from VASP.

Computed properties:
Total energy, eV/atom: -8.945
Volume, Å³/cell: 120.3
Magnetic moment, μB/f.u.: 0.000

Structure (Quantum ESPRESSO input):
```
&SYSTEM
  ibrav = 0, nat = 8, ntyp = 2
/
ATOMIC_SPECIES
Ir 192.22 Ir.upf
Tc 98.00 Tc.upf
CELL_PARAMETERS angstrom
-0.9423 3.5940 -3.2500
1.0595 -3.0779 -3.7109
-4.7282 -1.4059 -0.1839
ATOMIC_POSITIONS angstrom
Ir -2.0992 -1.4724 -1.0197
Ir -4.0173 0.7425 -1.7629
Tc -2.3055 -0.4449 -3.5724
Ir -0.1770 1.1565 -4.2929
Ir -1.5695 -3.0114 -2.8751
Ir 0.2942 -0.6405 -2.6679
Tc 0.0000 0.0000 0.0000
Ir -1.6532 1.4455 -1.6709
```

=====

Record 3
VASP calculation (PBE-GGA) on a geometry-optimized LiTbDy2S5 structure. Values from VASP.

Computed properties:
Total energy, eV/atom: -5.914
E_form (uncorrected), eV per atom: -1.871
Volume, Å³/cell: 372.6
Magnetic moment, μB/f.u.: 0.000

Structure (Quantum ESPRESSO input):
```
&SYSTEM
  ibrav = 0, nat = 18, ntyp = 4
/
ATOMIC_SPECIES
S 32.06 S.upf
Tb 158.93 Tb.upf
Dy 162.50 Dy.upf
Li 6.94 Li.upf
CELL_PARAMETERS angstrom
3.8964 0.0000 0.0000
-1.9482 8.1039 0.0000
0.0000 0.0000 11.7989
ATOMIC_POSITIONS angstrom
S 1.9482 7.3750 6.7905
Tb 1.9482 4.9185 5.9027
Dy 1.9482 6.1095 9.3523
Dy 1.9482 6.3557 2.1690
Dy 0.0000 1.9943 3.4529
S 0.0000 5.8958 0.0236
S 1.9482 3.4446 1.9334
S 1.9482 0.0027 9.2620
S 0.0000 0.7288 0.8911
S 0.0000 4.6593 7.8329
Tb 0.0000 3.1854 0.0033
S 1.9482 3.1106 9.8932
S 0.0000 8.1012 3.3626
S 0.0000 4.9933 3.9938
Li 1.9482 0.2051 11.5905
S 1.9482 2.2080 5.9231
Dy 0.0000 1.7481 8.0684
Li 0.0000 7.8988 5.6910
```